Material: CdInPb3
Method: DFT, PBE-GGA
State: relaxed

a b c (Å): 5.9287 5.9287 11.0802
angles (deg): 90.00 90.00 130.10
With the nearest neighbours (Å) after each atom.
Atoms (fractional coordinates):
Cd 0.9129 0.7346 0.7500  2 In 2.93, 7 Pb 3.26-3.27
Cd 0.7346 0.9129 0.2500  2 In 2.93, 7 Pb 3.26-3.27
Pb 0.1267 0.5211 0.4086  2 Cd 3.27, 3 In 3.41-3.43, 3 Pb 3.41-3.52
Pb 0.1267 0.5211 0.0914  2 Cd 3.27, 3 In 3.41-3.43, 3 Pb 3.41-3.52
Pb 0.2164 0.4308 0.7500  3 Cd 3.26-3.27
Pb 0.5211 0.1267 0.9086  2 Cd 3.27, 3 In 3.41-3.43, 3 Pb 3.41-3.52
Pb 0.4308 0.2164 0.2500  3 Cd 3.26-3.27
Pb 0.5211 0.1267 0.5914  2 Cd 3.27, 3 In 3.41-3.43, 3 Pb 3.41-3.52
In 0.8239 0.8239 0.5000  2 Cd 2.93
In 0.8239 0.8239 0.0000  2 Cd 2.93

Properties
As for the energy relative to the elements: 0.063 eV per atom. The value obtained for the size of the total moment is 0.0 Bohr magnetons per cell. The space group is Cmcm (63). Its crystal system is orthorhombic.